Version a
Compound: DyScNi2
Source: Alexandria via LeMat-Bulk
Functional: PBE-GGA
Structure: relaxed

Results
As for the crystal system: tetragonal. The calculated density comes out at 7.685 g/cm³. Its symmetry is No. 123.

a b c (Å): 3.2875 3.2875 6.4943
angles (deg): 90.00 90.00 90.00
Element x y z (fractional)
Sc 0.5000 0.5000 0.0000
Ni 0.0000 0.0000 0.7750
Ni 0.0000 0.0000 0.2250
Dy 0.5000 0.5000 0.5000

Version b
Compound: DyScNi2
Source: Alexandria via LeMat-Bulk
Functional: PBE-GGA
Structure: relaxed

Results
As for the crystal system: monoclinic. The calculated density comes out at 7.353 g/cm³. Its symmetry is No. 6.

a b c (Å): 3.6047 4.1206 5.2603
angles (deg): 90.00 110.14 90.00
Element x y z (fractional)
Dy 0.4392 0.5000 0.4169
Sc 0.7191 0.0000 0.9771
Ni 0.1588 0.5000 0.8574
Ni 0.0139 0.0000 0.5666

Tell me which of them is the least stable. Sure, it is version a.